Density functional theory data (PBE-GGA) for a relaxed RbTaHF2 crystal. Values from VASP.

Values from the calculation:
**D(E_F)**: 0.506 states/eV per atom
**Total energy**: -18.0 eV per cell

Quantum ESPRESSO input file:
```
&SYSTEM
  ibrav = 0, nat = 5, ntyp = 4
/
ATOMIC_SPECIES
Rb 85.47 Rb.upf
Ta 180.95 Ta.upf
H 1.01 H.upf
F 19.00 F.upf
ATOMIC_POSITIONS angstrom
Rb 0.0000 0.0000 0.0000
Ta 2.4405 2.4405 0.0000
H 0.0000 0.0000 1.7223
F 0.0000 2.4405 1.7223
F 2.4405 0.0000 1.7223
CELL_PARAMETERS angstrom
4.8809 0.0000 0.0000
0.0000 4.8809 0.0000
0.0000 0.0000 3.4446
```

Density functional theory data (PBE-GGA) for a relaxed AlHgW2 crystal. Values from VASP.

Values from the calculation:
**D(E_F)**: 0.650 states/eV per atom
**DFT formation energy**: 416.3 meV per atom
**Total energy**: -28.3 eV per cell

Quantum ESPRESSO input file:
```
&SYSTEM
  ibrav = 0, nat = 4, ntyp = 3
/
ATOMIC_SPECIES
Al 26.98 Al.upf
Hg 200.59 Hg.upf
W 183.84 W.upf
ATOMIC_POSITIONS angstrom
Al 0.0000 0.0000 0.0000
Hg 0.0000 0.0000 21.9548
W 0.0000 0.0000 7.5034
W 0.0000 0.0000 14.8384
CELL_PARAMETERS angstrom
1.4368 0.8295 9.7063
-1.4368 0.8295 9.7063
0.0000 -1.6590 9.7063
```

Density functional theory data (PBE-GGA) for a relaxed CaSi2Ni crystal. Values from VASP.

Values from the calculation:
**D(E_F)**: 0.353 states/eV per atom
**Raw formation energy**: -0.117 eV/atom
**Total energy**: -19.1 eV per cell

Quantum ESPRESSO input file:
```
&SYSTEM
  ibrav = 0, nat = 4, ntyp = 3
/
ATOMIC_SPECIES
Ca 40.08 Ca.upf
Si 28.09 Si.upf
Ni 58.69 Ni.upf
ATOMIC_POSITIONS angstrom
Ca 0.0000 0.0000 0.0000
Si 1.3840 0.0000 2.6808
Si 0.0000 2.6884 1.8793
Ni 0.0000 0.0000 4.5601
CELL_PARAMETERS angstrom
-1.3840 2.6884 4.5601
1.3840 -2.6884 4.5601
1.3840 2.6884 -4.5601
```